The following is a DFT calculation (GGA-PBE) of a relaxed LiFePt2 crystal.

Summary:
DOS(E_F), states/eV/cell: 2.6
Magnetic moment, μB per atom: 0.7900
Total energy, eV per atom: -5.732
Energy of formation from the pure elements, eV/atom: -0.117

The structure in CIF format:
```
data_LiFePt2
_chemical_formula_sum 'Li1 Fe1 Pt2'
_cell_length_a 2.725
_cell_length_b 2.725
_cell_length_c 7.769
_cell_angle_alpha 90.00
_cell_angle_beta 90.00
_cell_angle_gamma 90.00
_symmetry_space_group_name_H-M 'P 1'
_symmetry_Int_Tables_number 1
_symmetry_space_group_name_Hall 'P 1'
loop_
_atom_site_label
_atom_site_type_symbol
_atom_site_fract_x
_atom_site_fract_y
_atom_site_fract_z
Li1 Li 0.000 0.000 0.000
Fe1 Fe 0.500 0.500 0.736
Pt1 Pt 0.000 0.000 0.503
Pt2 Pt 0.500 0.500 0.228
```